No. 1
First-principles (GGA-PBE) data for GaAgRuSe2 after structural relaxation, as listed in Alexandria via LeMat-Bulk.

Its energy above the lowest structure with this stoichiometry is 0.00 eV per formula unit. Its formation energy (no corrections) is 0.86 eV per atom. Its total magnetization is 2.0 Bohr magnetons per cell. As for the uncorrected energy: -3.568 eV/atom.

The space group is P4/mmm (No. 123) and the conventional cell measures 4.952, 4.952 and 4.754 Å, with angles of 90.00, 90.00 and 90.00 degrees. The inequivalent atoms are Ga at (0.000, 0.000, 0.000), Ag at (0.500, 0.500, 0.500), Ru at (0.000, 0.000, 0.500) and Se at (0.000, 0.500, 0.000).

No. 2
First-principles (GGA-PBE) data for BaZnRe2B after structural relaxation, as listed in Alexandria via LeMat-Bulk.

Its total magnetization is 3.6 Bohr magnetons per cell. As for the uncorrected energy: -3.361 eV/atom.

The space group is P4/mmm (No. 123) and the conventional cell measures 5.178, 5.178 and 4.654 Å, with angles of 90.00, 90.00 and 90.00 degrees. The inequivalent atoms are Ba at (0.000, 0.000, 0.000), Zn at (0.500, 0.500, 0.500), Re at (0.000, 0.500, 0.000) and B at (0.000, 0.000, 0.500).

No. 3
First-principles (GGA-PBE) data for Y2NbMoSe after structural relaxation, as listed in Alexandria via LeMat-Bulk.

Its formation energy (no corrections) is 0.78 eV per atom. Its total magnetization is 3.2 Bohr magnetons per cell. As for the uncorrected energy: -6.687 eV/atom.

The space group is P4/mmm (No. 123) and the conventional cell measures 5.419, 5.419 and 4.713 Å, with angles of 90.00, 90.00 and 90.00 degrees. The inequivalent atoms are Y at (0.000, 0.500, 0.000), Nb at (0.000, 0.000, 0.500), Mo at (0.500, 0.500, 0.000) and Se at (0.500, 0.500, 0.500).

No. 4
First-principles (GGA-PBE) data for Ac2TlIrPb after structural relaxation, as listed in Alexandria via LeMat-Bulk.

Its total magnetization is 0.0 Bohr magnetons per cell. As for the uncorrected energy: -5.094 eV/atom.

The space group is P2_1/m (No. 11) and the conventional cell measures 8.943, 4.346 and 9.198 Å, with angles of 90.00, 116.27 and 90.00 degrees. The inequivalent atoms are Ac at (0.119, 0.250, 0.336), Ac at (0.276, 0.250, 0.996), Tl at (0.459, 0.750, 0.351), Ir at (0.120, 0.750, 0.106) and Pb at (0.288, 0.750, 0.696).

No. 5
First-principles (GGA-PBE) data for PaPdPtAu2 after structural relaxation, as listed in Alexandria via LeMat-Bulk.

Its total magnetization is 0.0 Bohr magnetons per cell. As for the uncorrected energy: -5.993 eV/atom.

The space group is Cmcm (No. 63) and the conventional cell measures 4.202, 9.635 and 9.532 Å, with angles of 90.00, 90.00 and 90.00 degrees. The inequivalent atoms are Pa at (0.000, 0.079, 0.250), Pd at (0.000, 0.500, 0.000), Pt at (0.000, 0.380, 0.250) and Au at (0.000, 0.205, 0.582).

No. 6
First-principles (GGA-PBE) data for Sr3ZnC after structural relaxation, as listed in Alexandria via LeMat-Bulk.

Its energy above the lowest structure with this stoichiometry is 0.00 eV per formula unit. Its total magnetization is 0.9 Bohr magnetons per cell. As for the uncorrected energy: -2.792 eV/atom.

The space group is Pm-3m (No. 221) and the conventional cell measures 5.445, 5.445 and 5.445 Å, with angles of 90.00, 90.00 and 90.00 degrees. The inequivalent atoms are Sr at (0.000, 0.000, 0.500), Zn at (0.500, 0.500, 0.500) and C at (0.000, 0.000, 0.000).

No. 7
First-principles (GGA-PBE) data for Tm3Mg7Sc2 after structural relaxation, as listed in Alexandria via LeMat-Bulk.

Its total magnetization is 0.0 Bohr magnetons per cell. As for the uncorrected energy: -2.948 eV/atom.

The space group is Cmmm (No. 65) and the conventional cell measures 5.107, 23.532 and 5.271 Å, with angles of 90.00, 90.00 and 90.00 degrees. The inequivalent atoms are Tm at (0.000, 0.000, 0.000), Tm at (0.000, 0.164, 0.000), Mg at (0.000, 0.077, 0.500), Mg at (0.000, 0.227, 0.500), Mg at (0.000, 0.423, 0.000), Mg at (0.000, 0.500, 0.500) and Sc at (0.000, 0.355, 0.500).

No. 8
First-principles (GGA-PBE) data for PrAl2Au4 after structural relaxation, as listed in Alexandria via LeMat-Bulk.

Its total magnetization is 0.0 Bohr magnetons per cell. As for the uncorrected energy: -4.212 eV/atom.

The space group is Pnma (No. 62) and the conventional cell measures 17.954, 4.540 and 6.815 Å, with angles of 90.00, 90.00 and 90.00 degrees. The inequivalent atoms are Pr at (0.133, 0.250, 0.010), Al at (0.037, 0.750, 0.255), Al at (0.221, 0.250, 0.533), Au at (0.036, 0.750, 0.802), Au at (0.078, 0.250, 0.503), Au at (0.180, 0.750, 0.316) and Au at (0.197, 0.750, 0.731).